1.
The following is a GGA-PBE calculation of Na3CuS after structural relaxation, from Alexandria.

Cell: 5.2697 5.2697 5.2697 Å, 90.00 90.00 90.00°
Fractional coordinates of all 5 atoms:
Na  0.0000  0.0000  0.5000
Na  0.0000  0.5000  0.0000
Na  0.5000  0.0000  0.0000
Cu  0.5000  0.5000  0.5000
S  0.0000  0.0000  0.0000

Calculated values
ΔE_f (raw): -308.3 meV per atom
Relative energy among the computed polymorphs: 0.00 kJ/mol of atoms
Calculated total energy: -2.744 eV per atom



2.
The following is a GGA-PBE calculation of CsAuS3 after structural relaxation, from Alexandria.

Cell: 5.5918 5.5918 5.5918 Å, 90.00 90.00 90.00°
Fractional coordinates of all 5 atoms:
Cs  0.0000  0.0000  0.0000
Au  0.5000  0.5000  0.5000
S  0.0000  0.0000  0.5000
S  0.0000  0.5000  0.0000
S  0.5000  0.0000  0.0000

Calculated values
ΔE_f (raw): 1591.8 meV per atom
Calculated total energy: -1.711 eV per atom